# PrNd6Dy3Ho2, relaxed, DFT PBE-GGA
# **Total energy**: -0.172 Ha/atom
# **Crystal system**: monoclinic
# **ΔE_f**: 0.31 kcal/mol of atoms
data_PrNd6Dy3Ho2
_cell_length_a 6.290
_cell_length_b 10.893
_cell_length_c 11.934
_cell_angle_alpha 90.00
_cell_angle_beta 100.09
_cell_angle_gamma 90.00
_symmetry_space_group_name_H-M 'C 1 2/m 1'
_symmetry_Int_Tables_number 12
loop_
_symmetry_equiv_pos_as_xyz
'x,y,z'
'-x,-y,-z'
'-x,y,-z'
'x,-y,z'
'x+1/2,y+1/2,z'
'-x+1/2,-y+1/2,-z'
'-x+1/2,y+1/2,-z'
'x+1/2,-y+1/2,z'
loop_
_atom_site_label
_atom_site_type_symbol
_atom_site_fract_x
_atom_site_fract_y
_atom_site_fract_z
Pr1 Pr 0.000 0.000 0.000
Nd1 Nd 0.248 0.333 0.749
Nd2 Nd 0.250 0.000 0.749
Dy1 Dy 0.000 0.167 0.500
Dy2 Dy 0.000 0.500 0.500
Ho1 Ho 0.000 0.333 0.000

***

# Er3Co2Si2, relaxed, DFT PBE-GGA
# **E_form (uncorrected)**: -0.668 eV/atom
# **Total energy**: -0.228 Ha/atom
# **Crystal system**: orthorhombic
data_Er3Co2Si2
_cell_length_a 5.482
_cell_length_b 7.545
_cell_length_c 12.478
_cell_angle_alpha 90.00
_cell_angle_beta 90.00
_cell_angle_gamma 90.00
_symmetry_space_group_name_H-M 'P b c m'
_symmetry_Int_Tables_number 57
loop_
_symmetry_equiv_pos_as_xyz
'x,y,z'
'-x,-y,-z'
'-x,-y,z+1/2'
'x,y,-z+1/2'
'x,-y+1/2,-z'
'-x,y+1/2,z'
'-x,y+1/2,-z+1/2'
'x,-y+1/2,z+1/2'
loop_
_atom_site_label
_atom_site_type_symbol
_atom_site_fract_x
_atom_site_fract_y
_atom_site_fract_z
Er1 Er 0.129 0.248 0.250
Er2 Er 0.360 0.605 0.101
Co1 Co 0.133 0.529 0.587
Si1 Si 0.113 0.250 0.000
Si2 Si 0.349 0.600 0.750